(1)
SrCa2Ni2: relaxed, PBE.

Properties
Its formation energy is 0.180 eV/f.u. Its density of states at the Fermi level is 0.28 states/eV/f.u.

Cell: 4.6532 4.6532 6.8762 Å, 70.22 70.22 90.00°
Last column: nearest neighbours and their distance in Å.
Sites, in units of the cell vectors:
Ni 0.5961 0.5961 0.8077  1 Ni 2.32
Ca 0.2500 0.7500 0.5000  4 Ni 2.98, 4 Ca 3.29
Sr 0.0000 0.0000 0.0000  8 Ni 3.49, 8 Ca 3.81
Ni 0.4039 0.4039 0.1923  1 Ni 2.32
Ca 0.7500 0.2500 0.5000  4 Ni 2.98, 4 Ca 3.29


(2)
Tl2FeSi: relaxed, PBE.

Properties
Its density of states at the Fermi level is 0.00 states/eV/f.u. The calculation puts the uncorrected formation energy at 253 meV/atom.

Cell: 10.0347 10.0347 7.4205 Å, 47.46 47.46 90.00°
Last column: nearest neighbours and their distance in Å.
Sites, in units of the cell vectors:
Si 0.2500 0.7500 0.5000  2 Fe 2.17
Tl 0.3750 0.1259 0.7500  2 Fe 2.57
Si 0.5000 0.5000 0.0000  2 Fe 2.17
Tl 0.8750 0.1241 0.7500  2 Fe 2.57
Fe 0.0000 0.0000 0.0000  2 Si 2.17
Fe 0.7500 0.2500 0.5000  2 Si 2.17
Tl 0.8741 0.1250 0.2500  2 Fe 2.57
Tl 0.8759 0.6250 0.2500  2 Fe 2.57